No. 1
Entry from Alexandria via LeMat-Bulk: TlCoMo after structural relaxation (PBE).

Unit cell a=2.864 b=5.321 c=7.242 alpha=109.83 beta=90.55 gamma=105.11
Last column: magnetic moment on the atom in μB.
Atoms (fractional coordinates):
Tl1 0.823 0.679 0.374  0.00
Tl2 0.177 0.321 0.626  0.00
Co1 0.549 0.093 0.257  0.45
Co2 0.451 0.907 0.743  0.45
Mo1 0.097 0.256 0.020  -0.03
Mo2 0.903 0.744 0.980  -0.03

Results
energy relative to the elements	457	meV/atom
space-group type	P-1

No. 2
Entry from Alexandria via LeMat-Bulk: TlCoMo after structural relaxation (PBE).

Unit cell a=6.052 b=6.052 c=2.940 alpha=75.94 beta=75.94 gamma=28.12
Last column: magnetic moment on the atom in μB.
Atoms (fractional coordinates):
Co1 0.984 0.984 0.016  0.76
Tl1 0.659 0.659 0.341  0.00
Mo1 0.358 0.358 0.642  -0.02

Results
energy relative to the elements	469	meV/atom
space-group type	I4mm

No. 3
Entry from Alexandria via LeMat-Bulk: TlCoMo2 after structural relaxation (PBE).

Unit cell a=4.880 b=4.880 c=4.880 alpha=131.33 beta=131.33 gamma=71.28
Last column: magnetic moment on the atom in μB.
Atoms (fractional coordinates):
Co1 0.750 0.250 0.500  0.99
Mo1 0.250 0.750 0.500  0.09
Mo2 0.000 0.000 0.000  -0.01
Tl1 0.500 0.500 0.000  -0.01

Results
energy relative to the elements	585	meV/atom
space-group type	I-4m2

No. 4
Entry from Alexandria via LeMat-Bulk: Tl2CoMo2 after structural relaxation (PBE).

Unit cell a=8.232 b=8.232 c=8.232 alpha=154.93 beta=154.93 gamma=35.74
Last column: magnetic moment on the atom in μB.
Atoms (fractional coordinates):
Co1 0.000 0.000 0.000  1.38
Tl1 0.404 0.404 0.000  -0.02
Tl2 0.596 0.596 0.000  -0.02
Mo1 0.750 0.250 0.500  0.07
Mo2 0.250 0.750 0.500  0.07

Results
energy relative to the elements	951	meV/atom
space-group type	I4/mmm